Entry 1:
Density functional theory data (PBE) for a relaxed SrLiRu3 crystal.

```
SrLiRu3
1.0
4.4250 0.0000 0.0000
0.0000 4.4250 0.0000
0.0000 0.0000 4.4250
Sr Li Ru
1 1 3
direct
0.0000 0.0000 0.0000
0.5000 0.5000 0.5000
0.0000 0.5000 0.5000
0.5000 0.0000 0.5000
0.5000 0.5000 0.0000
```

N(E_F): 1.308 states/eV per atom
total magnetic moment: 2.13 μB per cell
energy relative to the lowest polymorph listed for this composition: 0 meV per atom
total energy: -5.192 eV/atom
space group: Pm-3m
ΔH_f (0 K): 105 kJ per mole of atoms

Entry 2:
Density functional theory data (PBE) for a relaxed Ho7ErIn2 crystal.

```
Ho7ErIn2
1.0
4.5454 -7.7181 0.0000
4.5454 7.7181 0.0000
0.0000 0.0000 5.3358
Ho Er In
7 1 2
direct
0.0000 0.0000 0.0000
0.1986 0.4395 0.0000
0.2748 0.7252 0.5000
0.4395 0.1986 0.0000
0.5605 0.8014 0.0000
0.7252 0.2748 0.5000
0.8014 0.5605 0.0000
0.5000 0.5000 0.5000
0.1957 0.8043 0.0000
0.8043 0.1957 0.0000
```

N(E_F): 1.956 states/eV per atom
total magnetic moment: 0.02 μB per cell
total energy: -3.853 eV/atom
space group: Cmmm
ΔH_f (0 K): 34 kJ per mole of atoms

Entry 3:
Density functional theory data (PBE) for a relaxed InAsNO2 crystal.

```
InAsNO2
1.0
3.7697 0.0000 0.0000
0.0000 3.7697 0.0000
0.0000 0.0000 4.0423
In As N O
1 1 1 2
direct
0.0000 0.0000 0.0000
0.5000 0.5000 0.5000
0.5000 0.5000 0.0000
0.0000 0.5000 0.5000
0.5000 0.0000 0.5000
```

ΔE_f (raw): -0.18 eV/atom
N(E_F): 0.122 states/eV per atom
total magnetic moment: 0.00 μB per cell
total energy: -5.308 eV/atom
space group: P4/mmm

Entry 4:
Density functional theory data (PBE) for a relaxed ZrSi2Br crystal.

```
ZrSi2Br
1.0
3.7655 0.0000 0.0000
0.0000 3.7655 0.0000
0.0000 0.0000 5.3450
Zr Si Br
1 2 1
direct
0.0000 0.0000 0.0000
0.0000 0.5000 0.5000
0.5000 0.0000 0.5000
0.5000 0.5000 0.0000
```

ΔE_f (raw): 0.14 eV/atom
N(E_F): 0.633 states/eV per atom
total magnetic moment: 0.00 μB per cell
energy relative to the lowest polymorph listed for this composition: 516 meV per atom
total energy: -5.129 eV/atom
space group: P4/mmm

Entry 5:
Density functional theory data (PBE) for a relaxed K3MnCl5 crystal.

```
K3MnCl5
1.0
-4.3125 4.3125 7.2101
4.3125 -4.3125 7.2101
4.3125 4.3125 -7.2101
K Mn Cl
6 2 10
direct
0.1644 0.6644 0.8287
0.2500 0.2500 0.0000
0.3356 0.1644 0.5000
0.6644 0.8356 0.5000
0.7500 0.7500 0.0000
0.8356 0.3356 0.1713
0.2500 0.7500 0.5000
0.7500 0.2500 0.5000
0.0000 0.0000 0.0000
0.0007 0.2018 0.5000
0.2018 0.7018 0.2010
0.2982 0.4993 0.5000
0.4993 0.9993 0.2010
0.5000 0.5000 0.0000
0.5007 0.0007 0.7990
0.7018 0.5007 0.5000
0.7982 0.2982 0.7990
0.9993 0.7982 0.5000
```

ΔE_f (raw): -1.67 eV/atom
N(E_F): 0.000 states/eV per atom
total magnetic moment: 10.00 μB per cell
total energy: -4.080 eV/atom
space group: I4/mcm

Entry 6:
Density functional theory data (PBE) for a relaxed Dy8TmTl2 crystal.

```
Dy8TmTl2
1.0
4.4366 -7.5976 0.0000
4.4366 7.5976 0.0000
-2.2423 0.0000 5.0920
Dy Tm Tl
8 1 2
direct
0.0951 0.3212 0.6171
0.2160 0.7840 0.0000
0.3212 0.0951 0.6171
0.3997 0.3997 0.2024
0.6003 0.6003 0.7976
0.6788 0.9049 0.3829
0.7840 0.2160 0.0000
0.9049 0.6788 0.3829
0.0000 0.0000 0.0000
0.3062 0.6938 0.5000
0.6938 0.3062 0.5000
```

N(E_F): 1.380 states/eV per atom
total magnetic moment: 0.00 μB per cell
total energy: -4.186 eV/atom
space group: C2/m
ΔH_f (0 K): 0 kJ per mole of atoms

Entry 7:
Density functional theory data (PBE) for a relaxed NaLi2AuF crystal.

```
NaLi2AuF
1.0
4.1352 0.0000 0.0000
0.0000 4.1352 0.0000
0.0000 0.0000 4.6292
Na Li Au F
1 2 1 1
direct
0.0000 0.0000 0.0000
0.0000 0.5000 0.5000
0.5000 0.0000 0.5000
0.5000 0.5000 0.0000
0.0000 0.0000 0.5000
```

ΔE_f (raw): -1.23 eV/atom
N(E_F): 0.328 states/eV per atom
total magnetic moment: 0.29 μB per cell
total energy: -3.293 eV/atom
space group: P4/mmm

Entry 8:
Density functional theory data (PBE) for a relaxed PPbAu2 crystal.

```
PPbAu2
1.0
0.0000 3.4688 3.4688
3.4688 0.0000 3.4688
3.4688 3.4688 0.0000
P Pb Au
1 1 2
direct
0.0000 0.0000 0.0000
0.7500 0.7500 0.7500
0.2500 0.2500 0.2500
0.5000 0.5000 0.5000
```

N(E_F): 0.548 states/eV per atom
total magnetic moment: 0.00 μB per cell
energy relative to the lowest polymorph listed for this composition: 329 meV per atom
total energy: -3.585 eV/atom
space group: F-43m
ΔH_f (0 K): 32 kJ per mole of atoms